Density functional theory data (PBE) for a geometry-optimized HoAlAg3 structure.

Symmetry = No. 11
Electronic total energy = -3.61 eV per atom
Energy relative to the lowest polymorph listed for this composition = 0.0000 eV/atom

Cell: 4.631 7.308 6.162 Å, 72.19 90.00 90.00°
Sites, in units of the cell vectors:
Ho: 0.381 0.535 0.213
Ho: 0.881 0.140 0.593
Al: 0.381 0.767 0.600
Al: 0.881 0.908 0.206
Ag: 0.881 0.576 0.533
Ag: 0.381 0.099 0.273
Ag: 0.881 0.717 0.904
Ag: 0.881 0.303 0.049
Ag: 0.381 0.372 0.758
Ag: 0.381 0.957 0.902